[1]
The following is a DFT calculation (PBE) of a relaxed CsPaAl crystal.

The distance to the lowest polymorph of the same formula is 0.0 meV/atom. The space group is F-43m.

POSCAR file:
```
CsPaAl
1.0
0.000 3.707 3.707
3.707 0.000 3.707
3.707 3.707 0.000
Cs Pa Al
1 1 1
direct
0.000 0.000 0.000
0.750 0.750 0.750
0.500 0.500 0.500
```

[2]
The following is a DFT calculation (PBE) of a relaxed GdAl2Cu3 crystal.

The final energy is -4.22 eV per atom. The space group is P6/mmm.

POSCAR file:
```
GdAl2Cu3
1.0
5.269 0.000 0.000
-2.634 4.563 0.000
0.000 0.000 3.997
Gd Al Cu
1 2 3
direct
0.000 0.000 0.000
0.333 0.667 0.000
0.667 0.333 0.000
0.000 0.500 0.500
0.500 0.000 0.500
0.500 0.500 0.500
```

[3]
The following is a DFT calculation (PBE) of a relaxed ErTlSeO crystal.

The distance to the lowest polymorph of the same formula is 0.0 meV/atom. The space group is P2_1.

POSCAR file:
```
ErTlSeO
1.0
5.497 0.000 0.000
0.000 5.494 0.000
-1.464 0.000 12.239
Er Tl Se O
4 4 4 4
direct
0.028 0.000 0.088
0.472 0.000 0.912
0.528 0.500 0.088
0.972 0.500 0.912
0.032 0.623 0.614
0.460 0.609 0.386
0.540 0.109 0.614
0.968 0.123 0.386
0.059 0.129 0.745
0.445 0.123 0.254
0.555 0.623 0.746
0.941 0.629 0.255
0.250 0.257 0.000
0.250 0.754 0.000
0.750 0.254 0.000
0.750 0.757 0.000
```

[4]
The following is a DFT calculation (PBE) of a relaxed NdGdBr3 crystal.

The final energy is -4.39 eV per atom. The space group is C2/m.

POSCAR file:
```
NdGdBr3
1.0
8.163 -2.030 0.000
8.163 2.030 0.000
-5.157 0.000 9.507
Nd Gd Br
2 2 6
direct
0.086 0.086 0.449
0.914 0.914 0.551
0.363 0.363 0.209
0.637 0.637 0.791
0.158 0.158 0.008
0.267 0.267 0.375
0.457 0.457 0.777
0.543 0.543 0.223
0.733 0.733 0.625
0.842 0.842 0.992
```